1.
Below is a relaxed structure of Tm2Ga3CoNi4, with properties calculated at the PBE-GGA level.

The calculated formation energy comes out at -0.47 eV per atom.

The space group is P-4m2 (No. 115) and the conventional cell measures 3.8221, 3.8221 and 10.6133 Å, with angles of 90.00, 90.00 and 90.00 degrees. The inequivalent atoms are Tm at (0.0000, 0.5000, 0.2365), Ga at (0.0000, 0.0000, 0.0000), Ga at (0.0000, 0.5000, 0.6358), Co at (0.5000, 0.5000, 0.0000), Ni at (0.0000, 0.0000, 0.5000), Ni at (0.0000, 0.5000, 0.8604) and Ni at (0.5000, 0.5000, 0.5000).



2.
Below is a relaxed structure of K3Er2TiTe6, with properties calculated at the PBE-GGA level.

For the uncorrected formation energy, the calculation gives -14.08 eV per formula unit.

The space group is C2/m (No. 12) and the conventional cell measures 7.5731, 13.1232 and 8.5951 Å, with angles of 90.00, 107.15 and 90.00 degrees. The inequivalent atoms are K at (0.0000, 0.0000, 0.0000), K at (0.0000, 0.3279, 0.0000), Er at (0.0000, 0.1659, 0.5000), Ti at (0.0000, 0.5000, 0.5000), Te at (0.2251, 0.3416, 0.7007) and Te at (0.2483, 0.5000, 0.2976).



3.
Below is a relaxed structure of LaTe2Rh2, with properties calculated at the PBE-GGA level.

For the uncorrected formation energy, the calculation gives -3.50 eV per formula unit.

The space group is I4/mmm (No. 139) and the conventional cell measures 4.2752, 4.2752 and 12.5650 Å, with angles of 90.00, 90.00 and 90.00 degrees. The inequivalent atoms are La at (0.0000, 0.0000, 0.0000), Te at (0.0000, 0.0000, 0.3725) and Rh at (0.0000, 0.5000, 0.2500).



4.
Below is a relaxed structure of Si2HgGe, with properties calculated at the PBE-GGA level.

For the uncorrected formation energy, the calculation gives 2.48 eV per formula unit.

The space group is Fm-3m (No. 225) and the conventional cell measures 6.7412, 6.7412 and 6.7412 Å, with angles of 90.00, 90.00 and 90.00 degrees. The inequivalent atoms are Si at (0.2500, 0.2500, 0.2500), Hg at (0.0000, 0.0000, 0.0000) and Ge at (0.0000, 0.0000, 0.5000).



5.
Below is a relaxed structure of RbZr2SiS, with properties calculated at the PBE-GGA level.

For the uncorrected formation energy, the calculation gives 2.74 eV per formula unit.

The space group is P4/mmm (No. 123) and the conventional cell measures 5.0246, 5.0246 and 6.1655 Å, with angles of 90.00, 90.00 and 90.00 degrees. The inequivalent atoms are Rb at (0.0000, 0.0000, 0.0000), Zr at (0.0000, 0.5000, 0.5000), Si at (0.0000, 0.0000, 0.5000) and S at (0.5000, 0.5000, 0.0000).



6.
Below is a relaxed structure of LiHo2Sn9, with properties calculated at the PBE-GGA level.

The calculated formation energy comes out at -0.32 eV per atom.

The space group is P4/mmm (No. 123) and the conventional cell measures 4.6480, 4.6480 and 14.2722 Å, with angles of 90.00, 90.00 and 90.00 degrees. The inequivalent atoms are Li at (0.0000, 0.0000, 0.0000), Ho at (0.0000, 0.0000, 0.3372), Sn at (0.0000, 0.5000, 0.1618), Sn at (0.0000, 0.5000, 0.5000), Sn at (0.5000, 0.5000, 0.0000) and Sn at (0.5000, 0.5000, 0.3289).